Entry 1:
DFT (PBE) results for an optimized crystal structure of Hf3S.

Unit cell a=3.1598 b=3.2198 c=8.2775 alpha=90.00 beta=90.00 gamma=90.00
Fractional coordinates of all 4 atoms:
1 Hf 0.0000 0.0000 0.0000
2 Hf 0.0000 0.5000 0.3426
3 Hf 0.5000 0.5000 0.7421
4 S 0.5000 0.0000 0.4923

SG: Pmm2, No. 25
Uncorrected formation energy, meV per atom: -490.9



Entry 2:
DFT (PBE) results for an optimized crystal structure of Ac2YAg.

Unit cell a=12.4637 b=12.4637 c=12.4637 alpha=17.45 beta=17.45 gamma=17.45
Fractional coordinates of all 4 atoms:
1 Ac 0.0851 0.0851 0.0851
2 Ac 0.9149 0.9149 0.9149
3 Y 0.5000 0.5000 0.5000
4 Ag 0.0000 0.0000 0.0000

SG: R-3m, No. 166
Formation energy, kJ/mol of atoms: 29.1



Entry 3:
DFT (PBE) results for an optimized crystal structure of PuCdGe.

Unit cell a=4.7654 b=4.7654 c=4.7654 alpha=60.00 beta=60.00 gamma=60.00
Fractional coordinates of all 3 atoms:
1 Pu 0.0000 0.0000 0.0000
2 Cd 0.5000 0.5000 0.5000
3 Ge 0.2500 0.2500 0.2500

SG: F-43m, No. 216
Formation energy, kJ/mol of atoms: -15.8



no.,theoretical density (g cm⁻³)
1,11.2
2,7.1
3,9.3